[1]
# KCoHg2

An optimized crystal structure of KCoHg2 (PBEsol, Alexandria).

abc: 4.995 4.995 4.995
angles: 120.14 120.14 89.75
Element x y z (fractional)
1 K 0.000 0.000 0.000
2 Co 0.500 0.500 0.000
3 Hg 0.250 0.750 0.500
4 Hg 0.750 0.250 0.500

Calculated values
E_tot (eV/cell): -7.82
Space-group type: I4/mmm (139)
Total magnetic moment (Bohr magnetons per cell): 1.56
Calculated formation energy (eV/atom): 0.546

---

[2]
# K3CoHg

An optimized crystal structure of K3CoHg (PBEsol, Alexandria).

abc: 6.322 6.322 6.322
angles: 90.00 90.00 90.00
Element x y z (fractional)
1 K 0.000 0.000 0.500
2 K 0.000 0.500 0.000
3 K 0.500 0.000 0.000
4 Co 0.500 0.500 0.500
5 Hg 0.000 0.000 0.000

Calculated values
E_tot (eV/cell): -7.35
Space-group type: Pm-3m (221)
Total magnetic moment (Bohr magnetons per cell): 2.15
Calculated formation energy (eV/atom): 0.871

---

Question: Which of these has the highest calculated formation energy?
Answer: K3CoHg